A plane-wave DFT calculation with PBE was carried out for a relaxed Zn6Ag12Au crystal.

Cell: 7.5908 7.5908 7.5908 Å, 109.47 109.47 109.47°
Element x y z (fractional)
Zn 0.1403 0.6403 0.5000
Zn 0.3597 0.5000 0.8597
Zn 0.5000 0.1403 0.6403
Zn 0.5000 0.8597 0.3597
Zn 0.6403 0.5000 0.1403
Zn 0.8597 0.3597 0.5000
Ag 0.0902 0.8191 0.2711
Ag 0.1809 0.2711 0.4521
Ag 0.1809 0.7289 0.9098
Ag 0.2711 0.0902 0.8191
Ag 0.2711 0.4521 0.1809
Ag 0.4521 0.1809 0.2711
Ag 0.5479 0.8191 0.7289
Ag 0.7289 0.5479 0.8191
Ag 0.7289 0.9098 0.1809
Ag 0.8191 0.2711 0.0902
Ag 0.8191 0.7289 0.5479
Ag 0.9098 0.1809 0.7289
Au 0.0000 0.0000 0.0000

Output
The value obtained for the calculated total energy is -2.29 eV/atom. As for the calculated formation energy: 1.58 eV per formula unit. The value obtained for the polymorph energy (0 for the lowest one) is 47 meV/atom.